First-principles (PBE) data for a geometry-optimized V2OsI2 structure, as listed in Alexandria.

Computed properties:
The uncorrected formation energy is 1.207 eV/atom. As for the distance to the lowest polymorph of the same formula: 0 meV/atom.

Unit cell a=7.5215 b=7.5215 c=3.2953 alpha=90.00 beta=90.00 gamma=90.00
Sites, in units of the cell vectors:
V  0.1484  0.3516  0.0000
V  0.3516  0.8516  0.0000
V  0.6484  0.1484  0.0000
V  0.8516  0.6484  0.0000
Os  0.0000  0.0000  0.5000
Os  0.5000  0.5000  0.5000
I  0.1573  0.6573  0.5000
I  0.3427  0.1573  0.5000
I  0.6573  0.8427  0.5000
I  0.8427  0.3427  0.5000



First-principles (PBE) data for a geometry-optimized CsBa2LiPd structure, as listed in Alexandria.

Computed properties:
Its formation energy from the elements is -69 meV per atom.

Unit cell a=6.2865 b=6.2865 c=5.8806 alpha=90.00 beta=90.00 gamma=90.00
Sites, in units of the cell vectors:
Cs  0.0000  0.0000  0.0000
Ba  0.0000  0.5000  0.5000
Ba  0.5000  0.0000  0.5000
Li  0.5000  0.5000  0.0000
Pd  0.5000  0.5000  0.5000